# La3TmIn3

Crystalline La3TmIn3 at its relaxed geometry (PBE-GGA, the Alexandria database).

Cell lengths 6.890, 6.890, 9.878 Å; angles 91.55, 91.55, 104.24 degrees
Atoms (fractional coordinates):
La: 0.179 0.821 0.000
La: 0.242 0.758 0.500
La: 0.399 0.399 0.180
La: 0.601 0.601 0.820
La: 0.758 0.242 0.500
La: 0.821 0.179 0.000
Tm: 0.277 0.277 0.541
Tm: 0.723 0.723 0.459
In: 0.021 0.021 0.275
In: 0.060 0.472 0.761
In: 0.472 0.060 0.761
In: 0.528 0.940 0.239
In: 0.940 0.528 0.239
In: 0.979 0.979 0.725

Output
Symmetry: No. 12
Energy relative to the elements in eV per atom: -0.30


# AgSe2Cl

Crystalline AgSe2Cl at its relaxed geometry (PBE-GGA, the Alexandria database).

Cell lengths 7.878, 7.878, 7.878 Å; angles 30.01, 30.01, 30.01 degrees
Atoms (fractional coordinates):
Ag: 0.000 0.000 0.000
Se: 0.390 0.390 0.390
Se: 0.610 0.610 0.610
Cl: 0.500 0.500 0.500

Output
Symmetry: No. 166
Energy relative to the lowest polymorph listed for this composition in meV/atom: 243


# AlHSe2

Crystalline AlHSe2 at its relaxed geometry (PBE-GGA, the Alexandria database).

Cell lengths 3.848, 6.360, 8.510 Å; angles 90.00, 92.69, 90.00 degrees
Atoms (fractional coordinates):
Al: 0.247 0.000 0.084
Al: 0.753 0.500 0.916
H: 0.458 0.522 0.611
H: 0.542 0.022 0.389
Se: 0.217 0.902 0.349
Se: 0.269 0.391 0.077
Se: 0.731 0.891 0.923
Se: 0.783 0.402 0.651

Output
Symmetry: No. 4
Energy relative to the lowest polymorph listed for this composition in meV/atom: 24


# CeNd4Sm6

Crystalline CeNd4Sm6 at its relaxed geometry (PBE-GGA, the Alexandria database).

Cell lengths 9.893, 9.893, 9.893 Å; angles 140.57, 140.57, 56.99 degrees
Atoms (fractional coordinates):
Ce: 0.000 0.000 0.000
Nd: 0.014 0.633 0.000
Nd: 0.367 0.367 0.381
Nd: 0.633 0.014 0.000
Nd: 0.986 0.986 0.619
Sm: 0.000 0.500 0.500
Sm: 0.191 0.191 0.636
Sm: 0.445 0.809 0.000
Sm: 0.500 0.000 0.500
Sm: 0.555 0.555 0.364
Sm: 0.809 0.445 0.000

Output
Symmetry: No. 121
Energy relative to the elements in eV per atom: 0.30


# CsTl2

Crystalline CsTl2 at its relaxed geometry (PBE-GGA, the Alexandria database).

Cell lengths 6.947, 6.947, 6.947 Å; angles 60.00, 60.00, 60.00 degrees
Atoms (fractional coordinates):
Cs: 0.125 0.125 0.125
Cs: 0.875 0.875 0.875
Tl: 0.000 0.500 0.500
Tl: 0.500 0.000 0.500
Tl: 0.500 0.500 0.000
Tl: 0.500 0.500 0.500

Output
Symmetry: No. 227
Energy relative to the lowest polymorph listed for this composition in meV/atom: 55
Energy relative to the elements in eV per atom: -0.06


# TcPbSe2

Crystalline TcPbSe2 at its relaxed geometry (PBE-GGA, the Alexandria database).

Cell lengths 4.255, 4.091, 6.493 Å; angles 90.00, 109.03, 90.00 degrees
Atoms (fractional coordinates):
Tc: 0.000 0.000 0.000
Pb: 0.198 0.500 0.391
Se: 0.601 0.000 0.202
Se: 0.903 0.500 0.805

Output
Symmetry: No. 6
Energy relative to the lowest polymorph listed for this composition in meV/atom: 119


# TbPrHoEr2

Crystalline TbPrHoEr2 at its relaxed geometry (PBE-GGA, the Alexandria database).

Cell lengths 7.105, 7.105, 7.190 Å; angles 90.00, 90.00, 107.71 degrees
Atoms (fractional coordinates):
Tb: 0.000 0.000 0.250
Tb: 0.000 0.000 0.750
Pr: 0.271 0.729 0.750
Pr: 0.729 0.271 0.250
Ho: 0.279 0.721 0.250
Ho: 0.721 0.279 0.750
Er: 0.311 0.311 0.000
Er: 0.311 0.311 0.500
Er: 0.689 0.689 0.000
Er: 0.689 0.689 0.500

Output
Symmetry: No. 63
Energy relative to the elements in eV per atom: 0.38


# La2Y3Mg2

Crystalline La2Y3Mg2 at its relaxed geometry (PBE-GGA, the Alexandria database).

Cell lengths 15.608, 15.608, 3.726 Å; angles 90.00, 90.00, 166.03 degrees
Atoms (fractional coordinates):
La: 0.206 0.794 0.000
La: 0.794 0.206 0.000
Y: 0.077 0.923 0.000
Y: 0.500 0.500 0.500
Y: 0.923 0.077 0.000
Mg: 0.363 0.637 0.500
Mg: 0.637 0.363 0.500

Output
Symmetry: No. 65
Energy relative to the elements in eV per atom: 0.01


# CdPPt2

Crystalline CdPPt2 at its relaxed geometry (PBE-GGA, the Alexandria database).

Cell lengths 5.116, 5.116, 5.116 Å; angles 135.11, 135.11, 65.37 degrees
Atoms (fractional coordinates):
Cd: 0.000 0.000 0.000
P: 0.250 0.750 0.500
Pt: 0.500 0.500 0.000
Pt: 0.750 0.250 0.500

Output
Symmetry: No. 119
Energy relative to the lowest polymorph listed for this composition in meV/atom: 285
Energy relative to the elements in eV per atom: 0.03


# LiP3Pt

Crystalline LiP3Pt at its relaxed geometry (PBE-GGA, the Alexandria database).

Cell lengths 4.778, 4.778, 4.778 Å; angles 90.00, 90.00, 90.00 degrees
Atoms (fractional coordinates):
Li: 0.000 0.000 0.000
P: 0.000 0.500 0.500
P: 0.500 0.000 0.500
P: 0.500 0.500 0.000
Pt: 0.500 0.500 0.500

Output
Symmetry: No. 221
Energy relative to the lowest polymorph listed for this composition in meV/atom: 0
Energy relative to the elements in eV per atom: 0.58


# K3La2HfO6

Crystalline K3La2HfO6 at its relaxed geometry (PBE-GGA, the Alexandria database).

Cell lengths 6.223, 6.223, 6.680 Å; angles 98.67, 98.67, 120.16 degrees
Atoms (fractional coordinates):
K: 0.000 0.000 0.000
K: 0.341 0.659 0.000
K: 0.659 0.341 0.000
La: 0.167 0.833 0.500
La: 0.833 0.167 0.500
Hf: 0.500 0.500 0.500
O: 0.148 0.441 0.323
O: 0.266 0.266 0.679
O: 0.441 0.148 0.323
O: 0.559 0.852 0.677
O: 0.734 0.734 0.321
O: 0.852 0.559 0.677

Output
E_tot in eV/cell: -83.8
Symmetry: No. 12


# Rb2SiIBr5

Crystalline Rb2SiIBr5 at its relaxed geometry (PBE-GGA, the Alexandria database).

Cell lengths 7.684, 7.684, 7.684 Å; angles 119.86, 119.86, 90.24 degrees
Atoms (fractional coordinates):
Rb: 0.000 0.500 0.500
Rb: 0.500 0.000 0.500
Si: 0.254 0.254 0.000
I: 0.005 0.005 0.000
Br: 0.028 0.028 0.552
Br: 0.028 0.476 0.000
Br: 0.476 0.028 0.000
Br: 0.476 0.476 0.448
Br: 0.478 0.478 0.000

Output
E_tot in eV/cell: -27.0
Symmetry: No. 107


# Al2C

Crystalline Al2C at its relaxed geometry (PBE-GGA, the Alexandria database).

Cell lengths 5.271, 5.271, 7.114 Å; angles 128.17, 128.17, 33.31 degrees
Atoms (fractional coordinates):
Al: 0.088 0.088 0.319
Al: 0.224 0.224 0.823
Al: 0.776 0.776 0.177
Al: 0.912 0.912 0.681
C: 0.421 0.421 0.195
C: 0.579 0.579 0.805

Output
Symmetry: No. 12
Energy relative to the elements in eV per atom: 0.25


# SmThMgSn

Crystalline SmThMgSn at its relaxed geometry (PBE-GGA, the Alexandria database).

Cell lengths 5.435, 5.435, 5.435 Å; angles 60.00, 60.00, 60.00 degrees
Atoms (fractional coordinates):
Sm: 0.000 0.000 0.000
Th: 0.500 0.500 0.500
Mg: 0.750 0.750 0.750
Sn: 0.250 0.250 0.250

Output
Symmetry: No. 216
Energy relative to the elements in eV per atom: -0.27


# KRb2Na

Crystalline KRb2Na at its relaxed geometry (PBE-GGA, the Alexandria database).

Cell lengths 9.128, 9.128, 9.128 Å; angles 116.69, 98.08, 114.23 degrees
Atoms (fractional coordinates):
K: 0.302 0.052 0.250
K: 0.698 0.948 0.750
Rb: 0.219 0.000 0.719
Rb: 0.219 0.500 0.219
Rb: 0.781 0.000 0.281
Rb: 0.781 0.500 0.781
Na: 0.277 0.527 0.750
Na: 0.723 0.473 0.250

Output
Symmetry: No. 74
Energy relative to the lowest polymorph listed for this composition in meV/atom: 8
Energy relative to the elements in eV per atom: 0.03


# LaTb2Pm3Ho6

Crystalline LaTb2Pm3Ho6 at its relaxed geometry (PBE-GGA, the Alexandria database).

Cell lengths 6.211, 6.211, 11.817 Å; angles 95.01, 95.01, 119.98 degrees
Atoms (fractional coordinates):
La: 0.000 0.000 0.000
Tb: 0.333 0.667 0.000
Tb: 0.667 0.333 0.000
Pm: 0.167 0.833 0.500
Pm: 0.500 0.500 0.500
Pm: 0.833 0.167 0.500
Ho: 0.084 0.418 0.250
Ho: 0.251 0.251 0.750
Ho: 0.418 0.084 0.250
Ho: 0.582 0.916 0.750
Ho: 0.749 0.749 0.250
Ho: 0.916 0.582 0.750

Output
Symmetry: No. 12
Energy relative to the elements in eV per atom: 0.02


# Zr2SnB

Crystalline Zr2SnB at its relaxed geometry (PBE-GGA, the Alexandria database).

Cell lengths 7.743, 7.743, 7.743 Å; angles 25.97, 25.97, 25.97 degrees
Atoms (fractional coordinates):
Zr: 0.224 0.224 0.224
Zr: 0.776 0.776 0.776
Sn: 0.000 0.000 0.000
B: 0.500 0.500 0.500

Output
Symmetry: No. 166
Energy relative to the lowest polymorph listed for this composition in meV/atom: 0
Energy relative to the elements in eV per atom: -0.58


# TeH2Br4

Crystalline TeH2Br4 at its relaxed geometry (PBE-GGA, the Alexandria database).

Cell lengths 7.412, 7.412, 6.771 Å; angles 97.37, 97.37, 50.81 degrees
Atoms (fractional coordinates):
Te: 0.000 0.000 0.000
H: 0.300 0.300 0.233
H: 0.700 0.700 0.767
Br: 0.142 0.142 0.317
Br: 0.407 0.407 0.209
Br: 0.593 0.593 0.791
Br: 0.858 0.858 0.683

Output
E_tot in eV/cell: -17.2
Symmetry: No. 12


# SrLaSmTl

Crystalline SrLaSmTl at its relaxed geometry (PBE-GGA, the Alexandria database).

Cell lengths 5.767, 5.767, 5.767 Å; angles 60.00, 60.00, 60.00 degrees
Atoms (fractional coordinates):
Sr: 0.000 0.000 0.000
La: 0.250 0.250 0.250
Sm: 0.750 0.750 0.750
Tl: 0.500 0.500 0.500

Output
Symmetry: No. 216
Energy relative to the elements in eV per atom: -0.01


# Ac4Pr2Pb3N2

Crystalline Ac4Pr2Pb3N2 at its relaxed geometry (PBE-GGA, the Alexandria database).

Cell lengths 14.020, 14.020, 14.020 Å; angles 158.77, 158.77, 30.20 degrees
Atoms (fractional coordinates):
Ac: 0.087 0.587 0.500
Ac: 0.413 0.913 0.500
Ac: 0.587 0.087 0.500
Ac: 0.913 0.413 0.500
Pr: 0.196 0.196 0.000
Pr: 0.804 0.804 0.000
Pb: 0.320 0.320 0.000
Pb: 0.500 0.500 0.000
Pb: 0.680 0.680 0.000
N: 0.109 0.109 0.000
N: 0.891 0.891 0.000

Output
E_tot in eV/cell: -61.8
Symmetry: No. 139


# SrLi2Co

Crystalline SrLi2Co at its relaxed geometry (PBE-GGA, the Alexandria database).

Cell lengths 3.844, 4.054, 6.440 Å; angles 90.00, 107.21, 90.00 degrees
Atoms (fractional coordinates):
Sr: 0.000 0.000 0.000
Li: 0.253 0.500 0.512
Li: 0.722 0.000 0.450
Co: 0.606 0.500 0.215

Output
Symmetry: No. 6
Energy relative to the lowest polymorph listed for this composition in meV/atom: 40
Energy relative to the elements in eV per atom: 0.38


# Pm2Zn3Ni

Crystalline Pm2Zn3Ni at its relaxed geometry (PBE-GGA, the Alexandria database).

Cell lengths 5.515, 5.515, 7.112 Å; angles 126.62, 126.62, 47.38 degrees
Atoms (fractional coordinates):
Pm: 0.000 0.000 0.000
Pm: 0.094 0.094 0.596
Zn: 0.373 0.373 0.179
Zn: 0.389 0.389 0.589
Zn: 0.715 0.715 0.393
Ni: 0.706 0.706 0.991

Output
Symmetry: No. 8
Energy relative to the elements in eV per atom: -0.35


# TaTiBr3

Crystalline TaTiBr3 at its relaxed geometry (PBE-GGA, the Alexandria database).

Cell lengths 5.169, 5.169, 5.169 Å; angles 90.00, 90.00, 90.00 degrees
Atoms (fractional coordinates):
Ta: 0.000 0.000 0.000
Ti: 0.500 0.500 0.500
Br: 0.000 0.500 0.500
Br: 0.500 0.000 0.500
Br: 0.500 0.500 0.000

Output
Symmetry: No. 221
Energy relative to the lowest polymorph listed for this composition in meV/atom: 0


# CsKAs2Se

Crystalline CsKAs2Se at its relaxed geometry (PBE-GGA, the Alexandria database).

Cell lengths 6.137, 6.137, 6.271 Å; angles 90.00, 90.00, 90.00 degrees
Atoms (fractional coordinates):
Cs: 0.000 0.000 0.000
K: 0.500 0.500 0.500
As: 0.000 0.500 0.000
As: 0.500 0.000 0.000
Se: 0.000 0.000 0.500

Output
Symmetry: No. 123
Energy relative to the lowest polymorph listed for this composition in meV/atom: 201


# Zn3HgSe

Crystalline Zn3HgSe at its relaxed geometry (PBE-GGA, the Alexandria database).

Cell lengths 5.033, 5.033, 5.033 Å; angles 90.00, 90.00, 90.00 degrees
Atoms (fractional coordinates):
Zn: 0.000 0.000 0.500
Zn: 0.000 0.500 0.000
Zn: 0.500 0.000 0.000
Hg: 0.000 0.000 0.000
Se: 0.500 0.500 0.500

Output
Symmetry: No. 221
Energy relative to the lowest polymorph listed for this composition in meV/atom: 76


# Tl2BC2O6

Crystalline Tl2BC2O6 at its relaxed geometry (PBE-GGA, the Alexandria database).

Cell lengths 7.551, 7.551, 5.694 Å; angles 108.53, 108.53, 33.97 degrees
Atoms (fractional coordinates):
Tl: 0.239 0.239 0.235
Tl: 0.761 0.761 0.765
B: 0.000 0.000 0.500
C: 0.494 0.494 0.716
C: 0.506 0.506 0.284
O: 0.203 0.712 0.293
O: 0.288 0.797 0.707
O: 0.411 0.411 0.735
O: 0.589 0.589 0.265
O: 0.712 0.203 0.293
O: 0.797 0.288 0.707

Output
E_tot in eV/cell: -69.9
Symmetry: No. 12